5
Lattice="4.754 0.000 0.000 0.000 3.735 0.000 0.000 0.000 4.754" Properties=species:S:1:pos:R:3 comment="PBE-GGA ZnIr2OF, optimized geometry" sg="P4/mmm (123)" raw_formation_energy_ev_per_atom=1.4573 volume_a3_per_fu=84.4 pbc="T T T"
Zn 0.000 0.000 0.000
Ir 0.000 0.000 2.377
Ir 2.377 0.000 0.000
O 2.377 1.868 2.377
F 0.000 1.868 0.000

=====

5
Lattice="-1.365 -2.523 3.132 2.268 -3.214 -1.600 3.240 1.131 2.322" Properties=species:S:1:pos:R:3 comment="PBE-GGA ZrIrOF2, optimized geometry" sg="P4/mmm (123)" relative_energy_kj_per_mol_atoms=0.0 raw_formation_energy_ev_per_atom=-1.3271 volume_a3_per_fu=74.7 pbc="T T T"
Ir 2.072 -2.303 1.927
O 1.620 0.565 1.161
Zr 0.000 0.000 0.000
F 1.134 -1.607 -0.800
F -0.682 -1.261 1.566

=====

5
Lattice="-2.213 -2.113 3.436 2.666 -3.708 -0.563 2.416 1.372 2.400" Properties=species:S:1:pos:R:3 comment="PBE-GGA ZrIrOF2, optimized geometry" sg="P4/mmm (123)" relative_energy_kj_per_mol_atoms=79.8 raw_formation_energy_ev_per_atom=-0.4998 volume_a3_per_fu=77.7 pbc="T T T"
Ir 0.000 0.000 0.000
O 1.208 0.686 1.200
Zr 1.434 -2.224 2.637
F 1.333 -1.854 -0.282
F -1.107 -1.057 1.718

=====

5
Lattice="-2.157 -0.048 -3.595 3.587 -0.308 -2.148 -0.239 -4.181 0.199" Properties=species:S:1:pos:R:3 comment="PBE-GGA Ir3OsF, optimized geometry" sg="Pm-3m (221)" relative_energy_kj_per_mol_atoms=0.0 raw_formation_energy_ev_per_atom=1.5318 volume_a3_per_fu=73.7 pbc="T T T"
Ir 1.793 -0.154 -1.074
Ir -0.120 -2.090 0.100
Ir -1.078 -0.024 -1.797
Os 0.596 -2.268 -2.772
F 0.000 0.000 0.000

=====

10
Lattice="7.003 0.000 0.000 0.000 7.003 0.000 0.000 0.000 2.741" Properties=species:S:1:pos:R:3 comment="PBE-GGA Ir2OsF2, optimized geometry" sg="P4/mbm (127)" relative_energy_kj_per_mol_atoms=58.4 raw_formation_energy_ev_per_atom=0.6378 volume_a3_per_fu=67.2 pbc="T T T"
Ir 2.648 6.149 0.000
Ir 6.149 4.355 0.000
Ir 4.355 0.854 0.000
Ir 0.854 2.648 0.000
Os 0.000 0.000 0.000
Os 3.501 3.501 0.000
F 1.485 4.987 1.371
F 4.987 5.518 1.371
F 5.518 2.016 1.371
F 2.016 1.485 1.371

=====

8
Lattice="6.531 0.000 0.000 0.000 6.531 0.000 3.265 3.265 2.821" Properties=species:S:1:pos:R:3 comment="PBE-GGA Ir2OsF, optimized geometry" sg="I-42d (122)" relative_energy_kj_per_mol_atoms=23.6 raw_formation_energy_ev_per_atom=0.6255 volume_a3_per_fu=60.2 pbc="T T T"
Ir 4.870 1.633 0.705
Ir 1.661 4.898 0.705
Ir 4.898 4.926 2.116
Ir 8.163 8.135 2.116
Os 0.000 0.000 0.000
Os 6.531 3.265 1.411
F 3.265 3.265 0.000
F 3.265 6.531 1.411